(1)
Below is LiScZn2 after structural relaxation, with properties calculated at the PBE level.

Calculated values
**Calculated density**: 4.29 g cm⁻³
**Energy of formation**: -0.16 eV per atom
**Spin magnetization**: 0.0 μB/f.u.
**Volume**: 70.7 Å³ per cell

a = 5.4557 Å, b = 5.4557 Å, c = 5.4557 Å
α = 145.76°, β = 128.54°, γ = 63.27°
Positions (direct):
Li (0.5220, 0.5220, 0.0000)
Sc (0.2352, 0.7352, 0.5000)
Zn (0.9790, 0.9790, 0.0000)
Zn (0.7638, 0.2638, 0.5000)


(2)
Below is Li2ScZn2 after structural relaxation, with properties calculated at the PBE level.

Calculated values
**Calculated density**: 3.57 g cm⁻³
**Energy of formation**: -0.13 eV per atom
**Spin magnetization**: 0.0 μB/f.u.
**Volume**: 88.2 Å³ per cell
**Excess energy over the best structure of this formula in the dataset**: 0.0070 eV/atom

a = 3.7188 Å, b = 3.7188 Å, c = 6.8994 Å
α = 74.37°, β = 74.37°, γ = 90.00°
Positions (direct):
Sc (0.0000, 0.0000, 0.0000)
Zn (0.4002, 0.4002, 0.1997)
Zn (0.5998, 0.5998, 0.8003)
Li (0.7500, 0.2500, 0.5000)
Li (0.2500, 0.7500, 0.5000)


(3)
Below is LiScZn2 after structural relaxation, with properties calculated at the PBE level.

Calculated values
**Calculated density**: 4.15 g cm⁻³
**Energy of formation**: 0.05 eV per atom
**Spin magnetization**: 0.0 μB/f.u.
**Volume**: 146.3 Å³ per cell

a = 7.2490 Å, b = 7.2490 Å, c = 5.8334 Å
α = 51.59°, β = 51.59°, γ = 90.00°
Positions (direct):
Sc (0.0000, 0.0000, 0.0000)
Sc (0.7500, 0.2500, 0.5000)
Zn (0.5940, 0.1250, 0.2500)
Zn (0.1560, 0.6250, 0.2500)
Zn (0.3750, 0.4060, 0.7500)
Zn (0.8750, 0.8440, 0.7500)
Li (0.5000, 0.5000, 0.0000)
Li (0.2500, 0.7500, 0.5000)


(4)
Below is LiScZn2 after structural relaxation, with properties calculated at the PBE level.

Calculated values
**Calculated density**: 4.27 g cm⁻³
**Energy of formation**: 0.27 eV per atom
**Spin magnetization**: 0.0 μB/f.u.
**Volume**: 71.1 Å³ per cell

a = 6.0368 Å, b = 6.0368 Å, c = 6.0368 Å
α = 53.73°, β = 152.86°, γ = 134.56°
Positions (direct):
Li (0.0000, 0.0000, 0.0000)
Sc (0.0000, 0.5000, 0.5000)
Zn (0.0000, 0.2216, 0.2216)
Zn (0.0000, 0.7784, 0.7784)


(5)
Below is LiSc5Zn4 after structural relaxation, with properties calculated at the PBE level.

Calculated values
**Calculated density**: 4.25 g cm⁻³
**Energy of formation**: -0.26 eV per atom
**Spin magnetization**: 0.0 μB/f.u.
**Volume**: 192.9 Å³ per cell

a = 3.3593 Å, b = 3.3593 Å, c = 17.0947 Å
α = 90.00°, β = 90.00°, γ = 90.00°
Positions (direct):
Li (0.0000, 0.0000, 0.0000)
Sc (0.5000, 0.5000, 0.1117)
Sc (0.5000, 0.5000, 0.3042)
Sc (0.5000, 0.5000, 0.5000)
Sc (0.5000, 0.5000, 0.6958)
Sc (0.5000, 0.5000, 0.8883)
Zn (0.0000, 0.0000, 0.2053)
Zn (0.0000, 0.0000, 0.4021)
Zn (0.0000, 0.0000, 0.5979)
Zn (0.0000, 0.0000, 0.7947)


(6)
Below is LiSc3Zn4 after structural relaxation, with properties calculated at the PBE level.

Calculated values
**Calculated density**: 4.66 g cm⁻³
**Energy of formation**: -0.31 eV per atom
**Spin magnetization**: 0.0 μB/f.u.
**Volume**: 143.8 Å³ per cell

a = 3.2967 Å, b = 3.2967 Å, c = 13.2349 Å
α = 90.00°, β = 90.00°, γ = 90.00°
Positions (direct):
Sc (0.5000, 0.5000, 0.2441)
Sc (0.5000, 0.5000, 0.5000)
Sc (0.5000, 0.5000, 0.7559)
Zn (0.0000, 0.0000, 0.8885)
Zn (0.0000, 0.0000, 0.1115)
Zn (0.0000, 0.0000, 0.3723)
Zn (0.0000, 0.0000, 0.6277)
Li (0.5000, 0.5000, 0.0000)